Record 1
Crystalline Rb2Ca2Zn at its relaxed geometry. Source: the Alexandria database, functional PBE-GGA.

Computed properties:
E_form	180	meV/atom
E_tot	-1.26	eV/atom
M_tot	0.000	μB/atom
DOS at the Fermi energy	3.4	states/eV/f.u.

CIF file:
```
data_Rb2Ca2Zn
_space_group_name_H-M_alt 'P 1'
_space_group_IT_number 1
_cell_length_a 8.218
_cell_length_b 8.218
_cell_length_c 7.456
_cell_angle_alpha 90.00
_cell_angle_beta 90.00
_cell_angle_gamma 90.00
loop_
_space_group_symop_operation_xyz
'x,y,z'
loop_
_atom_site_label
_atom_site_fract_x
_atom_site_fract_y
_atom_site_fract_z
Zn1 0.000 0.000 0.000
Zn2 0.500 0.500 0.000
Ca1 0.330 0.830 0.000
Ca2 0.830 0.670 0.000
Ca3 0.670 0.170 0.000
Ca4 0.170 0.330 0.000
Rb1 0.181 0.681 0.500
Rb2 0.681 0.819 0.500
Rb3 0.819 0.319 0.500
Rb4 0.319 0.181 0.500
```

Record 2
Crystalline RbCa2Zn2 at its relaxed geometry. Source: the Alexandria database, functional PBE-GGA.

Computed properties:
E_form	150	meV/atom
E_tot	-1.35	eV/atom
energy above the lowest structure with this stoichiometry	131	meV per atom
M_tot	0.000	μB/atom
DOS at the Fermi energy	5.4	states/eV/f.u.

CIF file:
```
data_RbCa2Zn2
_space_group_name_H-M_alt 'P 1'
_space_group_IT_number 1
_cell_length_a 5.718
_cell_length_b 5.718
_cell_length_c 7.283
_cell_angle_alpha 66.89
_cell_angle_beta 66.89
_cell_angle_gamma 90.00
loop_
_space_group_symop_operation_xyz
'x,y,z'
loop_
_atom_site_label
_atom_site_fract_x
_atom_site_fract_y
_atom_site_fract_z
Zn1 0.750 0.250 0.500
Zn2 0.250 0.750 0.500
Ca1 0.337 0.337 0.325
Ca2 0.663 0.663 0.675
Rb1 0.000 0.000 0.000
```

Record 3
Crystalline RbCa3Zn at its relaxed geometry. Source: the Alexandria database, functional PBE-GGA.

Computed properties:
E_form	1100	meV/atom
E_tot	-0.55	eV/atom
energy above the lowest structure with this stoichiometry	1048	meV per atom
M_tot	0.000	μB/atom
DOS at the Fermi energy	10.9	states/eV/f.u.

CIF file:
```
data_RbCa3Zn
_space_group_name_H-M_alt 'P 1'
_space_group_IT_number 1
_cell_length_a 7.201
_cell_length_b 7.201
_cell_length_c 7.201
_cell_angle_alpha 90.00
_cell_angle_beta 90.00
_cell_angle_gamma 90.00
loop_
_space_group_symop_operation_xyz
'x,y,z'
loop_
_atom_site_label
_atom_site_fract_x
_atom_site_fract_y
_atom_site_fract_z
Zn1 0.500 0.500 0.500
Ca1 0.000 0.500 0.000
Ca2 0.000 0.000 0.500
Ca3 0.500 0.000 0.000
Rb1 0.000 0.000 0.000
```

Record 4
Crystalline RbCa3Zn at its relaxed geometry. Source: the Alexandria database, functional PBE-GGA.

Computed properties:
E_form	52	meV/atom
E_tot	-1.60	eV/atom
energy above the lowest structure with this stoichiometry	0	meV per atom
M_tot	0.000	μB/atom
DOS at the Fermi energy	4.4	states/eV/f.u.

CIF file:
```
data_RbCa3Zn
_space_group_name_H-M_alt 'P 1'
_space_group_IT_number 1
_cell_length_a 6.025
_cell_length_b 6.025
_cell_length_c 6.025
_cell_angle_alpha 90.00
_cell_angle_beta 90.00
_cell_angle_gamma 90.00
loop_
_space_group_symop_operation_xyz
'x,y,z'
loop_
_atom_site_label
_atom_site_fract_x
_atom_site_fract_y
_atom_site_fract_z
Zn1 0.000 0.000 0.000
Ca1 0.000 0.500 0.000
Ca2 0.000 0.000 0.500
Ca3 0.500 0.000 0.000
Rb1 0.500 0.500 0.500
```

Record 5
Crystalline RbCaZr3 at its relaxed geometry. Source: the Alexandria database, functional PBE-GGA.

Computed properties:
E_form	1716	meV/atom
E_tot	-4.01	eV/atom
energy above the lowest structure with this stoichiometry	0	meV per atom
M_tot	0.376	μB/atom
DOS at the Fermi energy	10.5	states/eV/f.u.

CIF file:
```
data_RbCaZr3
_space_group_name_H-M_alt 'P 1'
_space_group_IT_number 1
_cell_length_a 5.506
_cell_length_b 5.506
_cell_length_c 5.506
_cell_angle_alpha 90.00
_cell_angle_beta 90.00
_cell_angle_gamma 90.00
loop_
_space_group_symop_operation_xyz
'x,y,z'
loop_
_atom_site_label
_atom_site_fract_x
_atom_site_fract_y
_atom_site_fract_z
Ca1 0.000 0.000 0.000
Rb1 0.500 0.500 0.500
Zr1 0.000 0.500 0.000
Zr2 0.000 0.000 0.500
Zr3 0.500 0.000 0.000
```

Record 6
Crystalline RbCaZr3 at its relaxed geometry. Source: the Alexandria database, functional PBE-GGA.

Computed properties:
E_form	1766	meV/atom
E_tot	-3.96	eV/atom
energy above the lowest structure with this stoichiometry	50	meV per atom
M_tot	0.417	μB/atom
DOS at the Fermi energy	5.6	states/eV/f.u.

CIF file:
```
data_RbCaZr3
_space_group_name_H-M_alt 'P 1'
_space_group_IT_number 1
_cell_length_a 5.233
_cell_length_b 5.233
_cell_length_c 5.233
_cell_angle_alpha 90.00
_cell_angle_beta 90.00
_cell_angle_gamma 90.00
loop_
_space_group_symop_operation_xyz
'x,y,z'
loop_
_atom_site_label
_atom_site_fract_x
_atom_site_fract_y
_atom_site_fract_z
Ca1 0.500 0.500 0.500
Rb1 0.000 0.000 0.000
Zr1 0.000 0.500 0.000
Zr2 0.000 0.000 0.500
Zr3 0.500 0.000 0.000
```

Record 7
Crystalline Rb3CaZr at its relaxed geometry. Source: the Alexandria database, functional PBE-GGA.

Computed properties:
E_form	1097	meV/atom
E_tot	-1.59	eV/atom
energy above the lowest structure with this stoichiometry	0	meV per atom
M_tot	0.976	μB/atom
DOS at the Fermi energy	4.3	states/eV/f.u.

CIF file:
```
data_Rb3CaZr
_space_group_name_H-M_alt 'P 1'
_space_group_IT_number 1
_cell_length_a 7.069
_cell_length_b 7.069
_cell_length_c 7.069
_cell_angle_alpha 90.00
_cell_angle_beta 90.00
_cell_angle_gamma 90.00
loop_
_space_group_symop_operation_xyz
'x,y,z'
loop_
_atom_site_label
_atom_site_fract_x
_atom_site_fract_y
_atom_site_fract_z
Ca1 0.500 0.500 0.500
Rb1 0.000 0.500 0.000
Rb2 0.000 0.000 0.500
Rb3 0.500 0.000 0.000
Zr1 0.000 0.000 0.000
```

Record 8
Crystalline CaRe2 at its relaxed geometry. Source: the Alexandria database, functional PBE-GGA.

Computed properties:
E_form	619	meV/atom
E_tot	-8.35	eV/atom
M_tot	0.000	μB/atom
DOS at the Fermi energy	2.4	states/eV/f.u.

CIF file:
```
data_CaRe2
_space_group_name_H-M_alt 'P 1'
_space_group_IT_number 1
_cell_length_a 7.647
_cell_length_b 7.647
_cell_length_c 3.020
_cell_angle_alpha 90.00
_cell_angle_beta 90.00
_cell_angle_gamma 141.73
loop_
_space_group_symop_operation_xyz
'x,y,z'
loop_
_atom_site_label
_atom_site_fract_x
_atom_site_fract_y
_atom_site_fract_z
Ca1 0.096 0.904 0.750
Ca2 0.904 0.096 0.250
Re1 0.424 0.576 0.750
Re2 0.576 0.424 0.250
Re3 0.722 0.278 0.750
Re4 0.278 0.722 0.250
```